Entry 1:
8
Lattice="-4.5539 2.2450 -0.0607 -1.4142 -2.7626 3.9249 4.3019 8.9381 7.8413" Properties=species:S:1:pos:R:3 comment="Rb4Ag3Au | Alexandria | PBE | relaxed" e_form_mev_per_atom=-41 space_group=Pmm2 pbc="T T T"
Rb -1.4839 2.8581 4.6666
Rb 3.0030 6.3272 8.7251
Rb 0.6098 1.2670 1.1116
Rb 0.5010 6.8942 5.0332
Ag 1.6692 3.5559 6.2938
Ag 1.9088 3.9659 3.4793
Ag 1.7935 9.5796 7.3890
Au -2.7299 0.2692 2.3954

Entry 2:
16
Lattice="4.1766 0.0000 0.0000 0.0000 4.1766 0.0000 0.0000 0.0000 16.3472" Properties=species:S:1:pos:R:3 comment="Th3AlPd12 | Alexandria | PBE | relaxed" e_form_mev_per_atom=-867 space_group=P4/mmm pbc="T T T"
Pd 2.0883 0.0000 1.8223
Pd 2.0883 0.0000 14.5250
Pd 2.0883 2.0883 12.3946
Pd 0.0000 2.0883 14.5250
Pd 0.0000 2.0883 6.0586
Pd 2.0883 2.0883 0.0000
Pd 2.0883 0.0000 6.0586
Pd 0.0000 2.0883 10.2886
Pd 2.0883 2.0883 3.9527
Pd 0.0000 2.0883 1.8223
Pd 2.0883 2.0883 8.1736
Pd 2.0883 0.0000 10.2886
Al 0.0000 0.0000 0.0000
Th 0.0000 0.0000 8.1736
Th 0.0000 0.0000 12.4835
Th 0.0000 0.0000 3.8637

Entry 3:
12
Lattice="-1.6189 -0.9534 -3.5247 2.1983 -4.5857 0.2307 -8.6849 -3.9094 5.0464" Properties=species:S:1:pos:R:3 comment="Ho2UCo3 | Alexandria | PBE | relaxed" e_form_mev_per_atom=-244 space_group=Pnnm pbc="T T T"
Ho -4.5702 -5.9497 3.7084
Ho -1.9164 -2.5454 1.5687
Ho -0.8094 -4.9470 -0.5532
Ho -7.2962 -4.5015 2.3056
Co 0.0000 0.0000 0.0000
Co -1.9216 -5.2594 2.3052
Co -4.5651 -3.2356 2.9719
Co -4.0528 -4.7242 0.8762
Co -0.8640 -2.1081 -1.2960
Co -7.2415 -7.3404 3.0484
U 1.0991 -2.2928 0.1154
U -5.1519 -2.4314 0.7609

Entry 4:
14
Lattice="5.5028 0.0000 0.0000 -2.7514 4.7656 0.0000 0.0000 0.0000 6.8395" Properties=species:S:1:pos:R:3 comment="BaCa2MgSi2O8 | Alexandria | PBE | relaxed" space_group=P-3m1 formation_energy_uncorrected_ev_per_atom=-2.966 pbc="T T T"
O 1.3029 3.9293 2.2098
O 0.0000 1.6726 2.2098
O 2.7514 3.0929 4.6297
O 1.4485 0.8363 4.6297
O 2.7514 1.5885 0.0964
O 0.0000 3.1771 6.7431
O 4.0543 0.8363 4.6297
O -1.3029 3.9293 2.2098
Ca 2.7514 1.5885 2.3424
Ca 0.0000 3.1771 4.4970
Si 0.0000 3.1771 1.5269
Si 2.7514 1.5885 5.3125
Mg 0.0000 0.0000 3.4197
Ba 0.0000 0.0000 0.0000

Entry 5:
12
Lattice="4.4155 0.0000 0.0000 0.0000 8.9440 0.3051 -2.2077 -2.5892 9.3337" Properties=species:S:1:pos:R:3 comment="Nd6Bi3TeP2 | Alexandria | PBE | relaxed" space_group=C2/m formation_energy_uncorrected_ev_per_atom=-1.214 pbc="T T T"
Nd 0.0000 6.2787 6.4117
Nd 0.0000 2.2423 0.3006
Nd 2.2078 0.0762 3.2270
Nd 0.0000 2.1746 6.2224
Nd 2.2077 4.1125 9.3382
Nd 2.2077 4.1803 3.4164
Bi 2.2077 -0.2537 6.3732
Bi 2.2077 4.4720 0.1525
Bi 0.0000 6.6085 3.2655
P 0.0000 2.1259 3.2606
P 2.2077 4.2289 6.3782
Te 2.2077 0.0000 0.0000

Entry 6:
12
Lattice="7.8920 -0.0015 -0.0002 -3.9454 6.8351 -0.0002 -1.3165 -2.2794 8.2433" Properties=species:S:1:pos:R:3 comment="K3CeY2Te6 | Alexandria | PBE | relaxed" space_group=C2/m formation_energy_uncorrected_ev_per_atom=-1.386 pbc="T T T"
K -2.6519 4.5681 4.1214
K 1.3151 2.2771 4.1214
K 5.2821 -0.0140 4.1214
Te -0.0652 4.5543 6.5081
Te 0.0319 0.0553 6.5112
Te 2.5983 4.4989 1.7317
Te 3.9773 2.2196 6.5081
Te 2.6954 -0.0001 1.7348
Te -1.3471 2.3346 1.7348
Ce 0.0000 0.0000 0.0000
Y -0.0023 4.5578 -0.0002
Y 3.9489 2.2758 -0.0002

Values of E, in order: -2.00 -6.39 -7.20 -7.11 -5.73 -4.80, all in eV/atom.
Values of density of states at the Fermi level, in order: 1.2 3.5 5.2 0.0 2.7 8.3, all in states/eV/f.u..